[1]
KPmSb2 after structural relaxation. Source: Alexandria via LeMat-Bulk, functional GGA-PBE.

Computed properties:
DOS at the Fermi energy (states/eV per cell): 6.81
Space group: Fm-3m, No. 225
Formation energy without anion corrections (meV per atom): -446
Energy above the most stable polymorph in this dataset (eV/atom): 0.2321

Cell lengths 5.609, 5.609, 5.609 Å; angles 60.00, 60.00, 60.00 degrees
Sites, in units of the cell vectors:
1 K 0.000 0.000 0.000
2 Pm 0.500 0.500 0.500
3 Sb 0.250 0.250 0.250
4 Sb 0.750 0.750 0.750

---

[2]
KPmSb2 after structural relaxation. Source: Alexandria via LeMat-Bulk, functional GGA-PBE.

Computed properties:
DOS at the Fermi energy (states/eV per cell): 2.59
Space group: R-3m, No. 166
Formation energy without anion corrections (meV per atom): -502
Energy above the most stable polymorph in this dataset (eV/atom): 0.1755

Cell lengths 8.935, 8.935, 8.935 Å; angles 29.27, 29.27, 29.27 degrees
Sites, in units of the cell vectors:
1 K 0.000 0.000 0.000
2 Pm 0.500 0.500 0.500
3 Sb 0.236 0.236 0.236
4 Sb 0.764 0.764 0.764

---

[3]
KPmSb after structural relaxation. Source: Alexandria via LeMat-Bulk, functional GGA-PBE.

Computed properties:
DOS at the Fermi energy (states/eV per cell): 5.30
Space group: C2/m, No. 12
Formation energy without anion corrections (meV per atom): -558
Energy above the most stable polymorph in this dataset (eV/atom): 0.0000

Cell lengths 5.326, 5.326, 10.123 Å; angles 105.32, 105.32, 60.08 degrees
Sites, in units of the cell vectors:
1 K 0.132 0.132 0.396
2 K 0.868 0.868 0.604
3 Pm 0.373 0.373 0.123
4 Pm 0.627 0.627 0.877
5 Sb 0.264 0.264 0.791
6 Sb 0.736 0.736 0.209

---

[4]
KPmSb2 after structural relaxation. Source: Alexandria via LeMat-Bulk, functional GGA-PBE.

Computed properties:
DOS at the Fermi energy (states/eV per cell): 2.54
Space group: P4/mmm, No. 123
Formation energy without anion corrections (meV per atom): -678
Energy above the most stable polymorph in this dataset (eV/atom): 0.0000

Cell lengths 4.208, 4.208, 7.611 Å; angles 90.00, 90.00, 90.00 degrees
Sites, in units of the cell vectors:
1 K 0.000 0.000 0.000
2 Pm 0.000 0.000 0.500
3 Sb 0.500 0.500 0.306
4 Sb 0.500 0.500 0.694

---

[5]
KPmSb2 after structural relaxation. Source: Alexandria via LeMat-Bulk, functional GGA-PBE.

Computed properties:
DOS at the Fermi energy (states/eV per cell): 2.49
Space group: P4/mmm, No. 123
Formation energy without anion corrections (meV per atom): -496
Energy above the most stable polymorph in this dataset (eV/atom): 0.1817

Cell lengths 5.269, 5.269, 4.392 Å; angles 90.00, 90.00, 90.00 degrees
Sites, in units of the cell vectors:
1 K 0.000 0.000 0.000
2 Pm 0.500 0.500 0.000
3 Sb 0.000 0.500 0.500
4 Sb 0.500 0.000 0.500

---

[6]
KPmSb after structural relaxation. Source: Alexandria via LeMat-Bulk, functional GGA-PBE.

Computed properties:
DOS at the Fermi energy (states/eV per cell): 1.37
Space group: I4mm, No. 107
Formation energy without anion corrections (meV per atom): -455
Energy above the most stable polymorph in this dataset (eV/atom): 0.1032

Cell lengths 7.770, 7.770, 7.770 Å; angles 148.06, 148.06, 45.80 degrees
Sites, in units of the cell vectors:
1 K 0.000 0.000 0.000
2 Pm 0.264 0.264 0.000
3 Sb 0.713 0.713 0.000

---

[7]
K3PmSb2Se6 after structural relaxation. Source: Alexandria via LeMat-Bulk, functional GGA-PBE.

Computed properties:
Space group: C2/m, No. 12
Formation energy without anion corrections (meV per atom): -1050

Cell lengths 7.407, 7.407, 8.082 Å; angles 98.79, 98.79, 120.00 degrees
Sites, in units of the cell vectors:
1 K 0.000 0.000 0.000
2 K 0.333 0.667 0.000
3 K 0.667 0.333 0.000
4 Pm 0.500 0.500 0.500
5 Sb 0.167 0.833 0.500
6 Sb 0.833 0.167 0.500
7 Se 0.093 0.431 0.293
8 Se 0.231 0.231 0.707
9 Se 0.431 0.093 0.293
10 Se 0.569 0.907 0.707
11 Se 0.769 0.769 0.293
12 Se 0.907 0.569 0.707

---

[8]
K3Pm3SbSe8 after structural relaxation. Source: Alexandria via LeMat-Bulk, functional GGA-PBE.

Computed properties:
DOS at the Fermi energy (states/eV per cell): 2.18
Space group: R-3m, No. 166
Formation energy without anion corrections (meV per atom): -1423

Cell lengths 9.249, 9.249, 9.249 Å; angles 54.78, 54.78, 54.78 degrees
Sites, in units of the cell vectors:
1 K 0.000 0.500 0.500
2 K 0.500 0.000 0.500
3 K 0.500 0.500 0.000
4 Pm 0.000 0.000 0.500
5 Pm 0.000 0.500 0.000
6 Pm 0.500 0.000 0.000
7 Sb 0.500 0.500 0.500
8 Se 0.236 0.236 0.236
9 Se 0.249 0.726 0.726
10 Se 0.274 0.274 0.751
11 Se 0.274 0.751 0.274
12 Se 0.726 0.249 0.726
13 Se 0.726 0.726 0.249
14 Se 0.751 0.274 0.274
15 Se 0.764 0.764 0.764

---

[9]
K2PmSbSe4 after structural relaxation. Source: Alexandria via LeMat-Bulk, functional GGA-PBE.

Computed properties:
Space group: P2/m, No. 10
Formation energy without anion corrections (meV per atom): -1226

Cell lengths 7.449, 4.284, 8.068 Å; angles 90.00, 107.76, 90.00 degrees
Sites, in units of the cell vectors:
1 K 0.000 0.000 0.000
2 K 0.500 0.500 0.000
3 Pm 0.000 0.500 0.500
4 Sb 0.500 0.000 0.500
5 Se 0.240 0.000 0.708
6 Se 0.268 0.500 0.293
7 Se 0.732 0.500 0.707
8 Se 0.760 0.000 0.292

---

[10]
K4Pm3SbSe8 after structural relaxation. Source: Alexandria via LeMat-Bulk, functional GGA-PBE.

Computed properties:
DOS at the Fermi energy (states/eV per cell): 0.00
Space group: R-3m, No. 166
Formation energy without anion corrections (meV per atom): -1492

Cell lengths 9.154, 9.154, 9.154 Å; angles 56.16, 56.16, 56.16 degrees
Sites, in units of the cell vectors:
1 K 0.000 0.000 0.000
2 K 0.000 0.500 0.500
3 K 0.500 0.000 0.500
4 K 0.500 0.500 0.000
5 Pm 0.000 0.000 0.500
6 Pm 0.000 0.500 0.000
7 Pm 0.500 0.000 0.000
8 Sb 0.500 0.500 0.500
9 Se 0.237 0.237 0.237
10 Se 0.240 0.734 0.734
11 Se 0.266 0.266 0.760
12 Se 0.266 0.760 0.266
13 Se 0.734 0.240 0.734
14 Se 0.734 0.734 0.240
15 Se 0.760 0.266 0.266
16 Se 0.763 0.763 0.763

---

[11]
K2PmSbTe4 after structural relaxation. Source: Alexandria via LeMat-Bulk, functional GGA-PBE.

Computed properties:
Space group: P2/m, No. 10
Formation energy without anion corrections (meV per atom): -965

Cell lengths 7.948, 4.553, 8.637 Å; angles 90.00, 107.57, 90.00 degrees
Sites, in units of the cell vectors:
1 K 0.000 0.000 0.000
2 K 0.500 0.500 0.000
3 Pm 0.000 0.500 0.500
4 Sb 0.500 0.000 0.500
5 Te 0.242 0.000 0.710
6 Te 0.269 0.500 0.293
7 Te 0.731 0.500 0.707
8 Te 0.758 0.000 0.290

---

[12]
K3PmSb2Te6 after structural relaxation. Source: Alexandria via LeMat-Bulk, functional GGA-PBE.

Computed properties:
Space group: C2/m, No. 12
Formation energy without anion corrections (meV per atom): -820

Cell lengths 7.886, 7.886, 8.659 Å; angles 98.74, 98.74, 120.01 degrees
Sites, in units of the cell vectors:
1 K 0.000 0.000 0.000
2 K 0.334 0.666 0.000
3 K 0.666 0.334 0.000
4 Pm 0.500 0.500 0.500
5 Sb 0.167 0.833 0.500
6 Sb 0.833 0.167 0.500
7 Te 0.091 0.431 0.293
8 Te 0.229 0.229 0.708
9 Te 0.431 0.091 0.293
10 Te 0.569 0.909 0.707
11 Te 0.771 0.771 0.292
12 Te 0.909 0.569 0.707

---

- Which value of formation energy without anion corrections does entry 8 give?
  -1423 meV per atom

---

- What is the formation energy without anion corrections in the ninth record?
  -1226 meV per atom

---

- Which value of formation energy without anion corrections does entry 12 give?
  -820 meV per atom

---

- The lowest formation energy without anion corrections belongs to which entry?
  K4Pm3SbSe8